# 1
PBE Sr3Ca4Ag, relaxed; total magnetization = 0.000 μB/atom; electronic total energy = -16.365 eV per cell
1.0
3.958 0.000 0.000
0.000 3.958 0.000
0.000 0.000 21.342
Ca Sr Ag
4 3 1
Cartesian
0.000 0.000 13.654
0.000 0.000 1.723
0.000 0.000 7.688
0.000 0.000 19.618
1.979 1.979 16.629
1.979 1.979 4.713
1.979 1.979 10.671
1.979 1.979 0.000

---

# 2
PBE SrCa2Ag, relaxed; total magnetization = 0.000 μB/atom; electronic total energy = -8.392 eV per cell
1.0
5.830 0.000 0.000
2.915 5.049 0.000
2.915 1.683 4.760
Ca Sr Ag
2 1 1
Cartesian
2.915 1.683 1.190
0.000 0.000 0.000
8.744 5.049 3.570
5.830 3.366 2.380

---

# 3
PBE Sr3Ca5Ag2, relaxed; total magnetization = 0.000 μB/atom; electronic total energy = -44.063 eV per cell
1.0
-4.156 0.587 -1.708
-3.751 -11.522 5.164
-3.674 6.150 11.053
Ag Ca Sr
4 10 6
Cartesian
-2.721 2.436 7.457
-4.704 -7.807 8.760
-5.559 -1.715 12.934
-1.866 -3.657 3.283
-3.954 -5.467 1.728
-4.710 -2.984 4.422
-5.185 4.277 8.073
-6.871 -1.801 10.087
-8.411 -2.914 13.449
-3.915 3.369 4.672
-6.381 -5.397 7.657
-5.201 0.613 6.852
-6.397 -9.061 6.436
-3.171 -1.870 1.060
-5.575 -5.320 11.733
-1.851 -0.052 4.484
-4.236 1.340 10.765
0.000 0.000 0.000
-3.713 -2.686 8.109
-3.190 -6.712 5.452

---

# 4
PBE SrCaAg4, relaxed; total magnetization = 0.000 μB/atom; electronic total energy = -16.794 eV per cell
1.0
4.359 0.000 1.868
1.992 5.618 1.372
-0.041 0.116 6.115
Ag Sr Ca
4 1 1
Cartesian
5.358 4.920 5.556
0.745 0.270 4.281
1.981 3.617 1.396
4.529 2.675 7.492
3.264 2.608 4.424
2.077 0.244 1.173

---

# 5
PBE SrCa2Ag2, relaxed; total magnetization = 0.000 μB/atom; electronic total energy = -11.746 eV per cell
1.0
5.523 0.000 0.000
0.000 5.523 0.000
2.761 2.761 5.696
Ca Sr Ag
2 1 2
Cartesian
5.523 5.523 3.925
2.761 2.761 1.771
0.000 0.000 0.000
2.761 5.523 2.848
5.523 2.761 2.848

---

# 6
PBE Sr4Ca3Ag2, relaxed; total magnetization = 0.000 μB/atom; electronic total energy = -19.678 eV per cell
1.0
4.123 0.000 -1.137
-0.907 9.448 -3.288
0.452 -0.839 9.682
Ag Sr Ca
2 4 3
Cartesian
2.196 3.953 -0.080
1.472 4.656 5.337
3.091 2.810 3.166
0.577 5.799 2.091
1.780 0.493 6.456
1.888 8.116 -1.198
3.477 6.896 4.565
0.191 1.713 0.692
-0.453 4.724 -1.644

---

# 7
PBE SrCa2Ag, relaxed; total magnetization = 0.000 μB/atom; electronic total energy = -8.442 eV per cell
1.0
6.542 0.003 0.000
2.564 6.019 0.000
-4.553 -3.011 3.606
Sr Ca Ag
1 2 1
Cartesian
4.553 3.011 0.000
0.000 0.000 0.000
1.282 3.010 1.803
3.271 0.001 1.803

---

# 8
PBE SrCa3Ag, relaxed; total magnetization = 0.000 μB/atom; electronic total energy = -10.951 eV per cell
1.0
-3.855 1.631 4.174
-4.382 -0.220 -3.961
-0.938 -5.677 1.352
Ag Sr Ca
1 1 3
Cartesian
0.000 0.000 0.000
-4.587 -2.133 0.782
-1.927 0.815 2.087
-0.469 -2.839 0.676
-2.191 -0.110 -1.981

---

total magnetization of number 7 (SrCa2Ag)?
0.000 μB/atom